(1)
## SrSmAsO (PBE)

Data for a relaxed SrSmAsO crystal.

E, eV/atom: -5.728

Unit cell a=4.446 b=4.446 c=9.423 alpha=90.00 beta=90.00 gamma=90.00
Space group P4/nmm (No. 129, origin choice 2)
Symmetry-distinct sites (fractional):
1 Sr 0.250 0.750 0.000 [2 per cell]
2 Sm 0.250 0.250 0.407 [2 per cell]
3 As 0.250 0.250 0.784 [2 per cell]
4 O 0.250 0.750 0.500 [2 per cell]



(2)
## LuMgZnNi (PBE)

Data for a relaxed LuMgZnNi crystal.

E, eV/atom: -3.311

Unit cell a=6.488 b=6.488 c=6.488 alpha=90.00 beta=90.00 gamma=90.00
Space group F-43m (No. 216)
Symmetry-distinct sites (fractional):
1 Lu 0.000 0.000 0.000 [4 per cell]
2 Mg 0.250 0.250 0.750 [4 per cell]
3 Zn 0.250 0.250 0.250 [4 per cell]
4 Ni 0.000 0.000 0.500 [4 per cell]